# 1
Density functional theory data (GGA-PBE) for a geometry-optimized AlPCl2 structure.

Lattice parameters (Å, degrees): 5.0160 5.0160 3.1536 90.00 90.00 90.00
Closest atoms and distances in Å follow each position.
Space group P4/mmm (No. 123)
Symmetry-distinct sites (fractional):
1 Al 0.0000 0.0000 0.0000 x1  8 Cl 2.96, 2 Al 3.15
2 P 0.5000 0.5000 0.0000 x1  8 Cl 2.96, 2 P 3.15
3 Cl 0.0000 0.5000 0.5000 x2  4 Al 2.96, 4 P 2.96, 2 Cl 3.15

Calculated values
- energy relative to the elements, uncorrected (eV/atom) = 0.434
- relative energy among the computed polymorphs (meV/atom) = 1080
- crystal system = tetragonal
- V (Å³/f.u.) = 79

---

# 2
Density functional theory data (GGA-PBE) for a geometry-optimized La12HoTm5 structure.

Lattice parameters (Å, degrees): 19.0207 10.8521 6.3582 90.00 109.16 90.00
Closest atoms and distances in Å follow each position.
Space group C2/m (No. 12)
Symmetry-distinct sites (fractional):
1 La 0.0000 0.1702 0.0000 x4  1 Ho 3.58, 7 La 3.62-3.69, 4 Tm 3.68
2 La 0.0000 0.3289 0.5000 x4  3 Tm 3.57-3.69, 7 La 3.62-3.71, 2 Ho 3.68
3 La 0.1667 0.1709 0.8333 x8  5 Tm 3.57-3.68, 7 La 3.61-3.71
4 La 0.1668 0.3292 0.3334 x8  4 Tm 3.57-3.68, 7 La 3.61-3.71, 1 Ho 3.69
5 Ho 0.0000 0.5000 0.0000 x2  10 La 3.58-3.69, 2 Tm 3.66
6 Tm 0.0000 0.0000 0.5000 x2  10 La 3.57-3.68, 2 Tm 3.66
7 Tm 0.1667 0.0000 0.3335 x4  10 La 3.57-3.68, 2 Tm 3.65-3.66
8 Tm 0.1669 0.5000 0.8330 x4  10 La 3.57-3.69, 1 Tm 3.65, 1 Ho 3.66

Calculated values
- ΔH_f (0 K) (eV/f.u.) = 0.35
- crystal system = monoclinic
- V (Å³/f.u.) = 620

---

# 3
Density functional theory data (GGA-PBE) for a geometry-optimized Y2Pd5Pb2 structure.

Lattice parameters (Å, degrees): 15.2121 7.3361 7.1335 90.00 90.00 90.00
Closest atoms and distances in Å follow each position.
Space group Ima2 (No. 46)
Symmetry-distinct sites (fractional):
1 Y 0.1205 0.0635 0.0000 x8  7 Pd 2.90-3.23
2 Pd 0.0045 0.6834 0.7806 x8  2 Pb 2.65-2.66, 2 Pd 2.69-2.70, 1 Y 2.90
3 Pd 0.1624 0.6767 0.1831 x8  3 Pd 2.67-2.98, 3 Pb 2.79-2.89, 1 Y 2.94
4 Pd 0.2500 0.1852 0.7064 x4  2 Pb 2.79-2.83, 2 Pd 2.98, 4 Y 3.01-3.07
5 Pb 0.0000 0.0000 0.6018 x4  6 Pd 2.65-2.85
6 Pb 0.2500 0.5278 0.8749 x4  6 Pd 2.79-2.89

Calculated values
- ΔH_f (0 K) (eV/f.u.) = -4.33
- crystal system = orthorhombic
- V (Å³/f.u.) = 199